The following is a DFT calculation (GGA-PBE) of MgTa2Ag after structural relaxation.

a b c (Å): 2.837 2.837 9.142
angles (deg): 90.00 90.00 90.00
Sites, in units of the cell vectors:
1 Ag 0.000 0.000 0.501
2 Ta 0.500 0.500 0.254
3 Mg 0.500 0.500 0.738
4 Ta 0.000 0.000 0.007

## Properties
E_form	12.9	kJ/mol of atoms
volume	73.6	Å³ per cell